Record 1
This record from Alexandria via LeMat-Bulk describes a relaxed TlCuBr crystal. The functional is GGA-PBE. Values from VASP.

Cell and atoms, written as Quantum ESPRESSO input:
```
&SYSTEM
  ibrav = 0, nat = 3, ntyp = 3
/
ATOMIC_SPECIES
Tl 204.38 Tl.upf
Br 79.90 Br.upf
Cu 63.55 Cu.upf
ATOMIC_POSITIONS crystal
Tl 0.697 0.697 0.000
Br 0.954 0.954 0.000
Cu 0.348 0.348 0.000
CELL_PARAMETERS angstrom
-2.372 -2.645 -5.583
-5.307 -3.539 -1.761
2.611 5.163 3.213
```

Properties
Total energy: -2.683 eV/atom
ρ: 7820 kg/m³
Crystal system: tetragonal
Relative energy among the computed polymorphs: 151 meV/atom
Energy relative to the elements, uncorrected: 29 meV per atom
Symmetry: I4mm (107)

Record 2
This record from Alexandria via LeMat-Bulk describes a relaxed In8Rh3Au2 crystal. The functional is GGA-PBE. Values from VASP.

Cell and atoms, written as Quantum ESPRESSO input:
```
&SYSTEM
  ibrav = 0, nat = 13, ntyp = 3
/
ATOMIC_SPECIES
In 114.82 In.upf
Rh 102.91 Rh.upf
Au 196.97 Au.upf
ATOMIC_POSITIONS crystal
In 0.500 0.376 0.239
In 0.000 0.384 0.768
In 0.000 0.125 0.250
In 0.000 0.875 0.750
In 0.000 0.616 0.232
In 0.500 0.624 0.761
In 0.500 0.136 0.759
In 0.500 0.864 0.241
Rh 0.500 0.000 0.000
Rh 0.000 0.242 0.999
Rh 0.000 0.758 0.001
Au 0.500 0.251 0.501
Au 0.500 0.749 0.499
CELL_PARAMETERS angstrom
-4.067 0.739 2.029
-2.030 -8.950 -0.808
3.723 3.339 6.244
```

Properties
Total energy: -4.179 eV/atom
ρ: 9708 kg/m³
Crystal system: monoclinic
Symmetry: P2/m (10)
Energy of formation: -0.2928 eV per atom

Record 3
This record from Alexandria via LeMat-Bulk describes a relaxed ThCu7O12 crystal. The functional is GGA-PBE. Values from VASP.

Cell and atoms, written as Quantum ESPRESSO input:
```
&SYSTEM
  ibrav = 0, nat = 20, ntyp = 3
/
ATOMIC_SPECIES
O 16.00 O.upf
Cu 63.55 Cu.upf
Th 232.04 Th.upf
ATOMIC_POSITIONS crystal
O 0.525 0.693 0.831
O 0.475 0.307 0.169
O 0.138 0.307 0.831
O 0.831 0.525 0.693
O 0.693 0.831 0.525
O 0.831 0.138 0.307
O 0.307 0.831 0.138
O 0.862 0.693 0.169
O 0.307 0.169 0.475
O 0.169 0.475 0.307
O 0.169 0.862 0.693
O 0.693 0.169 0.862
Cu 0.500 0.000 0.000
Cu 0.000 0.500 0.000
Cu 0.000 0.500 0.500
Cu 0.500 0.500 0.500
Cu 0.500 0.500 0.000
Cu 0.500 0.000 0.500
Cu 0.000 0.000 0.500
Th 0.000 0.000 0.000
CELL_PARAMETERS angstrom
6.032 0.000 -2.133
-3.016 5.224 -2.133
0.000 0.000 6.398
```

Properties
Total energy: -5.743 eV/atom
ρ: 7157 kg/m³
Crystal system: cubic
Energy relative to the elements, uncorrected: -964 meV per atom
Symmetry: Im-3 (204)